## ScMo2Pt (PBE)

Data for an optimized crystal structure of ScMo2Pt.

Structure (extended XYZ):
```
4
Lattice="2.673 -4.523 0.000 2.673 4.523 0.000 0.000 0.000 2.761" Properties=species:S:1:pos:R:3 pbc="T T T"
Sc 0.000 0.000 0.000
Mo 1.337 2.261 1.380
Mo 1.337 -2.261 1.380
Pt 2.673 0.000 0.000
```

Values from the calculation:
DFT formation energy, meV per atom: -75
Energy above the most stable polymorph in this dataset, meV per atom: 235
DOS at the Fermi energy, states/eV/cell: 3.9
Uncorrected energy, eV/cell: -34.3